1.
Density functional theory data (PBE) for crystalline Re2SbF at its relaxed geometry.

- N(E_F): 1.34 states/eV per atom
- Space-group type: Fm-3m
- Mass density: 13.77 Mg/m³
- Calculated volume: 61.9 Å³ per cell
- ΔE to the lowest computed polymorph: 0.000 eV/atom
- E_form (uncorrected): 0.67 eV/atom

abc: 4.4399 4.4399 4.4399
angles: 60.00 60.00 60.00
Positions (direct):
1 Re 0.2500 0.2500 0.2500
2 Re 0.7500 0.7500 0.7500
3 Sb 0.0000 0.0000 0.0000
4 F 0.5000 0.5000 0.5000

***

2.
Density functional theory data (PBE) for crystalline ReSbF2 at its relaxed geometry.

- N(E_F): 0.70 states/eV per atom
- Space-group type: R-3m
- Mass density: 8.13 Mg/m³
- Calculated volume: 70.7 Å³ per cell
- ΔE to the lowest computed polymorph: 0.000 eV/atom
- E_form (uncorrected): -0.77 eV/atom

abc: 9.8237 9.8237 9.8237
angles: 17.00 17.00 17.00
Positions (direct):
1 Re 0.0000 0.0000 0.0000
2 Sb 0.5000 0.5000 0.5000
3 F 0.0657 0.0657 0.0657
4 F 0.9343 0.9343 0.9343

***

- What is the E_form (uncorrected) in the second record?
  -0.77 eV/atom

***

- Number 1 is which compound?
  Re2SbF

***

- N(E_F) of number 1 (Re2SbF)?
  1.34 states/eV per atom